[1]
Entry from Alexandria via LeMat-Bulk: a PBEsol-optimized structure of KTl2GaF6 (meta-GGA SCAN).

Values from the calculation:
Crystal system: cubic
Symmetry: Fm-3m, No. 225
Energy relative to the elements, uncorrected in meV/atom: -2524

Unit cell a=6.193 b=6.193 c=6.193 alpha=60.00 beta=60.00 gamma=60.00
Element x y z (fractional)
1 K 0.000 0.000 0.000
2 Tl 0.250 0.250 0.250
3 Tl 0.750 0.750 0.750
4 Ga 0.500 0.500 0.500
5 F 0.283 0.283 0.717
6 F 0.283 0.717 0.283
7 F 0.283 0.717 0.717
8 F 0.717 0.283 0.283
9 F 0.717 0.283 0.717
10 F 0.717 0.717 0.283

=====

[2]
Entry from Alexandria via LeMat-Bulk: a PBEsol-optimized structure of LaGaF2 (meta-GGA SCAN).

Values from the calculation:
Crystal system: cubic
Symmetry: Fm-3m, No. 225
Energy relative to the elements, uncorrected in meV/atom: -2090

Unit cell a=4.509 b=4.509 c=4.509 alpha=60.00 beta=60.00 gamma=60.00
Element x y z (fractional)
1 La 0.000 0.000 0.000
2 Ga 0.500 0.500 0.500
3 F 0.250 0.250 0.250
4 F 0.750 0.750 0.750

=====

[3]
Entry from Alexandria via LeMat-Bulk: a PBEsol-optimized structure of LaGaReF2 (meta-GGA SCAN).

Values from the calculation:
Crystal system: tetragonal
Symmetry: P4/mmm, No. 123
Energy relative to the elements, uncorrected in meV/atom: -419

Unit cell a=4.206 b=4.206 c=5.417 alpha=90.00 beta=90.00 gamma=90.00
Element x y z (fractional)
1 La 0.000 0.000 0.000
2 Ga 0.500 0.500 0.000
3 Re 0.000 0.000 0.500
4 F 0.000 0.500 0.500
5 F 0.500 0.000 0.500

=====

Number 1: V 167.99 Å³ per cell, DFT total energy -21.59 eV per atom. Number 2: V 64.83 Å³ per cell, DFT total energy -18.72 eV per atom. Number 3: V 95.83 Å³ per cell, DFT total energy -27.94 eV per atom.